Record 1
DFT (PBEsol) results for a geometry-optimized Ta2ReRu structure.

Lattice parameters (Å, degrees): 3.184 4.439 4.439 90.00 90.00 90.00
Fractional positions:
Ta 0.000 0.500 0.000
Ta 0.000 0.000 0.500
Re 0.500 0.500 0.500
Ru 0.500 0.000 0.000

## Properties
* energy of formation: -0.353 eV/atom
* spin magnetization: 0.00 μB per formula unit

Record 2
DFT (PBEsol) results for a geometry-optimized CaLu2O4 structure.

Lattice parameters (Å, degrees): 3.258 9.575 11.421 90.00 90.00 90.00
Fractional positions:
O 0.250 0.287 0.319
O 0.750 0.713 0.681
O 0.750 0.631 0.980
O 0.750 0.213 0.819
O 0.250 0.869 0.480
O 0.250 0.076 0.080
O 0.250 0.369 0.020
O 0.750 0.424 0.580
O 0.750 0.509 0.215
O 0.250 0.991 0.715
O 0.750 0.009 0.285
O 0.250 0.576 0.420
O 0.250 0.491 0.785
O 0.750 0.131 0.520
O 0.750 0.924 0.920
O 0.250 0.787 0.181
Ca 0.750 0.253 0.149
Ca 0.250 0.247 0.649
Ca 0.750 0.753 0.351
Ca 0.250 0.747 0.851
Lu 0.250 0.079 0.888
Lu 0.750 0.924 0.611
Lu 0.250 0.076 0.389
Lu 0.750 0.921 0.112
Lu 0.250 0.576 0.111
Lu 0.250 0.579 0.612
Lu 0.750 0.421 0.388
Lu 0.750 0.424 0.889

## Properties
* spin magnetization: 0.00 μB per formula unit
* raw formation energy: -81.3 kcal/mol of atoms

Record 3
DFT (PBEsol) results for a geometry-optimized Ta2HgW structure.

Lattice parameters (Å, degrees): 2.823 2.823 9.276 90.00 90.00 108.22
Fractional positions:
W 0.500 0.500 0.500
Ta 0.000 0.000 0.263
Ta 0.000 0.000 0.737
Hg 0.500 0.500 0.000

## Properties
* energy of formation: 0.121 eV/atom
* spin magnetization: 0.00 μB per formula unit

Record 4
DFT (PBEsol) results for a geometry-optimized CaAuSe2 structure.

Lattice parameters (Å, degrees): 4.836 4.836 4.836 95.39 116.94 116.94
Fractional positions:
Se 0.500 0.750 0.250
Se 0.500 0.250 0.750
Ca 0.000 0.500 0.500
Au 0.000 0.000 0.000

## Properties
* relative energy among the computed polymorphs: 1.19 eV per formula unit
* spin magnetization: 0.00 μB per formula unit
* raw formation energy: -14.0 kcal/mol of atoms